VASP calculation (PBE+U) on a relaxed FeS2F crystal.

Output
DFT total energy: -13.6 eV per formula unit
Calculated volume: 54.8 Å³ per cell
Relative energy among the computed polymorphs: 777 meV/atom
Fermi-level density of states: 0.858 states/eV/atom

abc: 8.705 8.705 8.705
angles: 17.97 17.97 17.97
Site moments in Bohr magnetons follow the coordinates.
Sites, in units of the cell vectors:
S: 0.910 0.910 0.910  -0.01
S: 0.090 0.090 0.090  -0.01
F: 0.500 0.500 0.500  -0.03
Fe: 0.000 0.000 0.000  3.40